[1]
VASP calculation (PBE) on crystalline Pm2Er4Sc5 at its relaxed geometry.

Calculated density: 6148 kg/m³
Space-group type: P2/m
D(E_F): 16.48 states/eV/cell
Formation enthalpy at 0 K: 0.135 eV/atom
Polymorph energy (0 for the lowest one): 0.00 eV/f.u.

```
Pm2Er4Sc5
1.0
3.4362 0.0000 0.0000
0.0000 8.2309 -2.1201
0.0000 -1.1217 11.5941
Pm Er Sc
2 4 5
direct
0.0000 0.8720 0.5966
0.0000 0.1280 0.4034
0.5000 0.2571 0.7328
0.5000 0.7342 0.8495
0.5000 0.7429 0.2672
0.5000 0.2658 0.1505
0.0000 0.5056 0.3755
0.0000 0.9129 0.1004
0.0000 0.5000 0.0000
0.0000 0.0871 0.8996
0.0000 0.4944 0.6245
```

[2]
VASP calculation (PBE) on crystalline Pm3ErSc7 at its relaxed geometry.

Calculated density: 4891 kg/m³
Space-group type: Immm
D(E_F): 14.66 states/eV/cell
Formation enthalpy at 0 K: 0.306 eV/atom

```
Pm3ErSc7
1.0
5.4930 -0.1997 -0.2558
-2.4245 7.5479 1.1391
-2.4245 -0.7247 7.5989
Pm Er Sc
3 1 7
direct
0.0000 0.7841 0.2159
0.5000 0.0000 0.0000
0.0000 0.2159 0.7841
0.5000 0.5000 0.5000
0.2079 0.2081 0.2081
0.2822 0.9732 0.5913
0.7178 0.4087 0.0268
0.2822 0.5913 0.9732
0.0000 0.5000 0.5000
0.7178 0.0268 0.4087
0.7921 0.7919 0.7919
```

[3]
VASP calculation (PBE) on crystalline PmEr4Sc7 at its relaxed geometry.

Calculated density: 5529 kg/m³
Space-group type: C2/m
D(E_F): 23.38 states/eV/cell
Formation enthalpy at 0 K: 0.269 eV/atom

```
PmEr4Sc7
1.0
-1.9827 -1.5957 -4.9246
3.8305 -10.3866 -1.2966
-5.6977 -2.7054 0.0506
Pm Er Sc
1 4 7
direct
0.0000 0.0000 0.0000
0.6346 0.2260 0.5049
0.3654 0.7740 0.4951
0.7125 0.6981 0.8769
0.2875 0.3019 0.1231
0.7913 0.9169 0.5005
0.2087 0.0831 0.4995
0.0379 0.6235 0.3008
0.9621 0.3765 0.6992
0.3566 0.5170 0.7699
0.5000 0.0000 0.0000
0.6434 0.4830 0.2301
```

[4]
VASP calculation (PBE) on crystalline Pm5ErSc4 at its relaxed geometry.

Calculated density: 5832 kg/m³
Space-group type: I4
D(E_F): 15.75 states/eV/cell
Formation enthalpy at 0 K: 0.332 eV/atom
Polymorph energy (0 for the lowest one): 2.86 eV/f.u.

```
Pm5ErSc4
1.0
-3.1032 4.4136 -3.0435
-6.6543 1.9382 3.2916
1.7459 7.1251 2.2485
Pm Er Sc
5 1 4
direct
0.8030 0.3976 0.9005
0.2005 0.9005 0.6024
0.7035 0.0995 0.3976
0.1010 0.6024 0.0995
0.6822 0.0000 0.0000
0.2209 0.0000 0.0000
0.3927 0.4161 0.6980
0.8088 0.6980 0.5839
0.0907 0.3020 0.4161
0.5069 0.5839 0.3020
```